w) Material: Nb3CrMo
Method: DFT, PBE-GGA
State: relaxed

Cell and atoms, written as CIF:
```
data_Nb3CrMo
_chemical_formula_sum 'Nb3 Cr1 Mo1'
_cell_length_a 4.565
_cell_length_b 4.565
_cell_length_c 4.565
_cell_angle_alpha 90.00
_cell_angle_beta 90.00
_cell_angle_gamma 90.00
_space_group_name_H-M_alt 'P m -3 m'
_space_group_IT_number 221
_space_group_name_Hall '-P 4 2 3'
loop_
_atom_site_label
_atom_site_fract_x
_atom_site_fract_y
_atom_site_fract_z
Nb1 0.000 0.000 0.500
Cr1 0.000 0.000 0.000
Mo1 0.500 0.500 0.500
```

Values from the calculation:
V: 95.1 Å³/cell

---

x) Material: Nb3CrMo
Method: DFT, PBE-GGA
State: relaxed

Cell and atoms, written as CIF:
```
data_Nb3CrMo
_chemical_formula_sum 'Nb3 Cr1 Mo1'
_cell_length_a 4.823
_cell_length_b 4.823
_cell_length_c 4.823
_cell_angle_alpha 90.00
_cell_angle_beta 90.00
_cell_angle_gamma 90.00
_space_group_name_H-M_alt 'P m -3 m'
_space_group_IT_number 221
_space_group_name_Hall '-P 4 2 3'
loop_
_atom_site_label
_atom_site_fract_x
_atom_site_fract_y
_atom_site_fract_z
Nb1 0.000 0.000 0.500
Cr1 0.500 0.500 0.500
Mo1 0.000 0.000 0.000
```

Values from the calculation:
V: 112.2 Å³/cell

---

Relative energies with respect to the most stable structure, expressed in meV/atom: w) 0; x) 341.

---

w) Material: NbCrMo2
Method: DFT, PBE-GGA
State: relaxed

Cell and atoms, written as CIF:
```
data_NbCrMo2
_chemical_formula_sum 'Nb4 Cr4 Mo8'
_cell_length_a 6.266
_cell_length_b 6.266
_cell_length_c 6.266
_cell_angle_alpha 90.00
_cell_angle_beta 90.00
_cell_angle_gamma 90.00
_space_group_name_H-M_alt 'F m -3 m'
_space_group_IT_number 225
_space_group_name_Hall '-F 4 2 3'
loop_
_atom_site_label
_atom_site_fract_x
_atom_site_fract_y
_atom_site_fract_z
Nb1 0.000 0.000 0.000
Cr1 0.000 0.000 0.500
Mo1 0.250 0.250 0.250
```

Values from the calculation:
V: 246.0 Å³/cell

---

x) Material: NbCrMo2
Method: DFT, PBE-GGA
State: relaxed

Cell and atoms, written as CIF:
```
data_NbCrMo2
_chemical_formula_sum 'Nb4 Cr4 Mo8'
_cell_length_a 7.048
_cell_length_b 7.048
_cell_length_c 5.299
_cell_angle_alpha 90.00
_cell_angle_beta 90.00
_cell_angle_gamma 90.00
_space_group_name_H-M_alt 'I -4 2 d'
_space_group_IT_number 122
_space_group_name_Hall 'I -4 2bw'
loop_
_atom_site_label
_atom_site_fract_x
_atom_site_fract_y
_atom_site_fract_z
Nb1 0.000 0.000 0.000
Cr1 0.000 0.000 0.500
Mo1 0.219 0.250 0.625
```

Values from the calculation:
V: 263.2 Å³/cell

---

Relative energies with respect to the most stable structure, expressed in meV/atom: w) 0; x) 665.